Entry 1:
The following is a DFT calculation (PBE) of an optimized crystal structure of RbOsPbO6.

Cell and atoms, written as CIF:
```
data_RbOsPbO6
_chemical_formula_sum 'Rb1 Os1 Pb1 O6'
_cell_length_a 5.6979
_cell_length_b 5.6979
_cell_length_c 6.0775
_cell_angle_alpha 90.00
_cell_angle_beta 90.00
_cell_angle_gamma 120.00
_space_group_name_H-M_alt 'P 3 1 2'
_space_group_IT_number 149
loop_
_space_group_symop_operation_xyz
'x,y,z'
'-y,x-y,z'
'-x+y,-x,z'
'-y,-x,-z'
'-x+y,y,-z'
'x,x-y,-z'
loop_
_atom_site_label
_atom_site_type_symbol
_atom_site_fract_x
_atom_site_fract_y
_atom_site_fract_z
Rb1 Rb 0.0000 0.0000 0.0000
Os1 Os 0.6667 0.3333 0.5000
Pb1 Pb 0.3333 0.6667 0.5000
O1 O 0.4256 0.0458 0.6856
```

---

Entry 2:
The following is a DFT calculation (PBE) of an optimized crystal structure of RbOsPb2O8.

Cell and atoms, written as CIF:
```
data_RbOsPb2O8
_chemical_formula_sum 'Rb1 Os1 Pb2 O8'
_cell_length_a 5.3773
_cell_length_b 5.8220
_cell_length_c 7.3112
_cell_angle_alpha 90.09
_cell_angle_beta 104.98
_cell_angle_gamma 106.06
_space_group_name_H-M_alt 'P -1'
_space_group_IT_number 2
loop_
_space_group_symop_operation_xyz
'x,y,z'
'-x,-y,-z'
loop_
_atom_site_label
_atom_site_type_symbol
_atom_site_fract_x
_atom_site_fract_y
_atom_site_fract_z
Rb1 Rb 0.0000 0.0000 0.0000
Os1 Os 0.5000 0.0000 0.5000
Pb1 Pb 0.2890 0.4367 0.6580
O1 O 0.1219 0.5406 0.9923
O2 O 0.1759 0.7334 0.4540
O3 O 0.3127 0.2298 0.3924
O4 O 0.4586 0.0715 0.7327
```

---

Entry 3:
The following is a DFT calculation (PBE) of an optimized crystal structure of Rb2Os3PbO12.

Cell and atoms, written as CIF:
```
data_Rb2Os3PbO12
_chemical_formula_sum 'Rb6 Os9 Pb3 O36'
_cell_length_a 7.4172
_cell_length_b 7.4172
_cell_length_c 18.2287
_cell_angle_alpha 90.00
_cell_angle_beta 90.00
_cell_angle_gamma 120.00
_space_group_name_H-M_alt 'R -3 m'
_space_group_IT_number 166
_space_group_name_Hall '-R 3 2"'
loop_
_atom_site_label
_atom_site_type_symbol
_atom_site_fract_x
_atom_site_fract_y
_atom_site_fract_z
Rb1 Rb 0.0000 0.0000 0.1123
Os1 Os 0.0000 0.5000 0.0000
Pb1 Pb 0.0000 0.0000 0.5000
O1 O 0.0088 0.5044 0.8994
O2 O 0.0801 0.5400 0.3305
```

---

Entry 4:
The following is a DFT calculation (PBE) of an optimized crystal structure of OsRhPb2O6.

Cell and atoms, written as CIF:
```
data_OsRhPb2O6
_chemical_formula_sum 'Os6 Rh6 Pb12 O36'
_cell_length_a 5.8222
_cell_length_b 5.8222
_cell_length_c 28.9406
_cell_angle_alpha 90.00
_cell_angle_beta 90.00
_cell_angle_gamma 120.00
_space_group_name_H-M_alt 'R -3 m'
_space_group_IT_number 166
_space_group_name_Hall '-R 3 2"'
loop_
_atom_site_label
_atom_site_type_symbol
_atom_site_fract_x
_atom_site_fract_y
_atom_site_fract_z
Os1 Os 0.0000 0.0000 0.0000
Os2 Os 0.0000 0.0000 0.5000
Rh1 Rh 0.0000 0.0000 0.0923
Pb1 Pb 0.0000 0.0000 0.2280
Pb2 Pb 0.0000 0.0000 0.3863
O1 O 0.0280 0.5140 0.6214
O2 O 0.0326 0.5163 0.2101
```

---

Entry 5:
The following is a DFT calculation (PBE) of an optimized crystal structure of OsRhPb2O8.

Cell and atoms, written as CIF:
```
data_OsRhPb2O8
_chemical_formula_sum 'Os1 Rh1 Pb2 O8'
_cell_length_a 4.8491
_cell_length_b 6.5760
_cell_length_c 4.9881
_cell_angle_alpha 90.00
_cell_angle_beta 90.87
_cell_angle_gamma 90.00
_space_group_name_H-M_alt 'P 1 2/m 1'
_space_group_IT_number 10
loop_
_space_group_symop_operation_xyz
'x,y,z'
'-x,-y,-z'
'-x,y,-z'
'x,-y,z'
loop_
_atom_site_label
_atom_site_type_symbol
_atom_site_fract_x
_atom_site_fract_y
_atom_site_fract_z
Os1 Os 0.0000 0.0000 0.0000
Rh1 Rh 0.0000 0.5000 0.0000
Pb1 Pb 0.5000 0.2553 0.5000
O1 O 0.1906 0.2402 0.8499
O2 O 0.2552 0.0000 0.2963
O3 O 0.2597 0.5000 0.3204
```

---

Entry 6:
The following is a DFT calculation (PBE) of an optimized crystal structure of OsRh2PbO8.

Cell and atoms, written as CIF:
```
data_OsRh2PbO8
_chemical_formula_sum 'Os2 Rh4 Pb2 O16'
_cell_length_a 6.5800
_cell_length_b 6.6243
_cell_length_c 6.5555
_cell_angle_alpha 90.00
_cell_angle_beta 90.00
_cell_angle_gamma 90.00
_space_group_name_H-M_alt 'C m m m'
_space_group_IT_number 65
_space_group_name_Hall '-C 2 2'
loop_
_atom_site_label
_atom_site_type_symbol
_atom_site_fract_x
_atom_site_fract_y
_atom_site_fract_z
Os1 Os 0.0000 0.0000 0.0000
Rh1 Rh 0.0000 0.5000 0.2426
Pb1 Pb 0.0000 0.0000 0.5000
O1 O 0.0000 0.2944 0.0000
O2 O 0.0000 0.3260 0.5000
O3 O 0.1968 0.0000 0.2213
```

---

| no. | D(E_F) (states/eV per atom) | E_form (uncorrected) (eV/atom) |
| --- | --- | --- |
| 1 | 0.34 | -1.0676 |
| 2 | 0.38 | -0.9638 |
| 3 | 0.53 | -1.1480 |
| 4 | 0.32 | -0.8278 |
| 5 | 0.52 | -0.8047 |
| 6 | 0.49 | -0.8401 |